(1)
Entry from Alexandria: a relaxed structure of Li2Pm2Bi2S (PBE-GGA).

Properties
For the calculated total energy, the calculation gives -32.66 eV/cell. The space group is No. 139. The uncorrected formation energy comes out at -1.06 eV/atom. For the density of states at the Fermi level, the calculation gives 0.1196 states/eV per atom.

POSCAR file:
```
Li2Pm2Bi2S
1.0
-2.3214 2.3214 8.5672
2.3214 -2.3214 8.5672
2.3214 2.3214 -8.5672
Li Pm Bi S
2 2 2 1
Cartesian
2.3214 0.0000 0.0000
0.0000 2.3214 0.0000
0.0000 0.0000 2.7875
0.0000 0.0000 14.3470
0.0000 0.0000 6.0844
0.0000 0.0000 11.0500
0.0000 0.0000 0.0000
```

(2)
Entry from Alexandria: a relaxed structure of LiPmBi2S4 (PBE-GGA).

Properties
For the calculated total energy, the calculation gives -37.87 eV/cell. The space group is No. 10. The uncorrected formation energy comes out at -0.87 eV/atom. For the density of states at the Fermi level, the calculation gives 0.0078 states/eV per atom.

POSCAR file:
```
LiPmBi2S4
1.0
7.4344 0.0000 0.0000
0.0000 3.9552 0.0000
-2.4904 0.0000 7.1413
Li Pm Bi S
1 1 2 4
Cartesian
0.0000 0.0000 0.0000
2.4720 1.9776 3.5706
-1.2452 1.9776 3.5706
3.7172 0.0000 0.0000
1.7989 1.9776 0.7629
0.6071 0.0000 4.3950
4.3370 0.0000 2.7462
3.1451 1.9776 6.3784
```

(3)
Entry from Alexandria: a relaxed structure of LiPmBiSb (PBE-GGA).

Properties
For the calculated total energy, the calculation gives -16.73 eV/cell. The space group is No. 216. The uncorrected formation energy comes out at -0.52 eV/atom. For the density of states at the Fermi level, the calculation gives 1.0955 states/eV per atom.

POSCAR file:
```
LiPmBiSb
1.0
0.0000 3.8089 3.8089
3.8089 0.0000 3.8089
3.8089 3.8089 0.0000
Li Pm Bi Sb
1 1 1 1
Cartesian
0.0000 0.0000 0.0000
3.8089 3.8089 3.8089
5.7134 5.7134 5.7134
1.9045 1.9045 1.9045
```

Copy entry 3 word for word.
Entry from Alexandria: a relaxed structure of LiPmBiSb (PBE-GGA).

Properties
For the calculated total energy, the calculation gives -16.73 eV/cell. The space group is No. 216. The uncorrected formation energy comes out at -0.52 eV/atom. For the density of states at the Fermi level, the calculation gives 1.0955 states/eV per atom.

POSCAR file:
```
LiPmBiSb
1.0
0.0000 3.8089 3.8089
3.8089 0.0000 3.8089
3.8089 3.8089 0.0000
Li Pm Bi Sb
1 1 1 1
Cartesian
0.0000 0.0000 0.0000
3.8089 3.8089 3.8089
5.7134 5.7134 5.7134
1.9045 1.9045 1.9045
```